1.
Compound: KIn2FeSe
Source: Alexandria via LeMat-Bulk
Functional: PBE-GGA
Structure: relaxed

```
data_KIn2FeSe
_chemical_formula_sum 'K1 In2 Fe1 Se1'
_cell_length_a 5.1502
_cell_length_b 5.1502
_cell_length_c 4.9837
_cell_angle_alpha 90.00
_cell_angle_beta 90.00
_cell_angle_gamma 90.00
_symmetry_space_group_name_H-M 'P 4/m m m'
_symmetry_Int_Tables_number 123
_symmetry_space_group_name_Hall '-P 4 2'
loop_
_atom_site_label
_atom_site_fract_x
_atom_site_fract_y
_atom_site_fract_z
_atom_site_occupancy
K1 0.0000 0.0000 0.0000 1
In1 0.0000 0.5000 0.5000 1
Fe1 0.5000 0.5000 0.5000 1
Se1 0.5000 0.5000 0.0000 1
```

## Properties
- Formation energy without anion corrections: -0.09 eV/atom

***

2.
Compound: POs3Ru
Source: Alexandria via LeMat-Bulk
Functional: PBE-GGA
Structure: relaxed

```
data_POs3Ru
_chemical_formula_sum 'P1 Os3 Ru1'
_cell_length_a 4.3070
_cell_length_b 4.3070
_cell_length_c 4.3070
_cell_angle_alpha 90.00
_cell_angle_beta 90.00
_cell_angle_gamma 90.00
_symmetry_space_group_name_H-M 'P m -3 m'
_symmetry_Int_Tables_number 221
_symmetry_space_group_name_Hall '-P 4 2 3'
loop_
_atom_site_label
_atom_site_fract_x
_atom_site_fract_y
_atom_site_fract_z
_atom_site_occupancy
P1 0.0000 0.0000 0.0000 1
Os1 0.0000 0.0000 0.5000 1
Ru1 0.5000 0.5000 0.5000 1
```

## Properties
- Offset from the most stable computed form: 0.000 eV/atom
- Energy of formation: 1165 meV per atom